1.
LaZn2P: optimized geometry, PBEsol.

Formation energy from the elements, eV/f.u.: -1.19

CIF file:
```
data_LaZn2P
_symmetry_space_group_name_H-M 'F m m m'
_symmetry_Int_Tables_number 69
_symmetry_space_group_name_Hall '-F 2 2'
_cell_length_a 5.6962
_cell_length_b 5.7018
_cell_length_c 11.0747
_cell_angle_alpha 90.00
_cell_angle_beta 90.00
_cell_angle_gamma 90.00
loop_
_atom_site_label
_atom_site_fract_x
_atom_site_fract_y
_atom_site_fract_z
_atom_site_occupancy
La1 0.0000 0.0000 0.0000 1
Zn1 0.0000 0.2500 0.2500 1
P1 0.0000 0.0000 0.5000 1
```

=====

2.
Zr3CrCu: optimized geometry, PBEsol.

Formation energy from the elements, eV/f.u.: 3.62

CIF file:
```
data_Zr3CrCu
_symmetry_space_group_name_H-M 'P m -3 m'
_symmetry_Int_Tables_number 221
_symmetry_space_group_name_Hall '-P 4 2 3'
_cell_length_a 4.7120
_cell_length_b 4.7120
_cell_length_c 4.7120
_cell_angle_alpha 90.00
_cell_angle_beta 90.00
_cell_angle_gamma 90.00
loop_
_atom_site_label
_atom_site_fract_x
_atom_site_fract_y
_atom_site_fract_z
_atom_site_occupancy
Zr1 0.0000 0.0000 0.5000 1
Cr1 0.0000 0.0000 0.0000 1
Cu1 0.5000 0.5000 0.5000 1
```

=====

3.
BaMg3Br: optimized geometry, PBEsol.

Formation energy (no corrections), eV per atom: 0.060

CIF file:
```
data_BaMg3Br
_symmetry_space_group_name_H-M 'P m -3 m'
_symmetry_Int_Tables_number 221
_symmetry_space_group_name_Hall '-P 4 2 3'
_cell_length_a 5.6858
_cell_length_b 5.6858
_cell_length_c 5.6858
_cell_angle_alpha 90.00
_cell_angle_beta 90.00
_cell_angle_gamma 90.00
loop_
_atom_site_label
_atom_site_fract_x
_atom_site_fract_y
_atom_site_fract_z
_atom_site_occupancy
Ba1 0.0000 0.0000 0.0000 1
Mg1 0.0000 0.5000 0.5000 1
Br1 0.5000 0.5000 0.5000 1
```

=====

4.
Cd2Cu: optimized geometry, PBEsol.

Formation energy from the elements, eV/f.u.: 0.27

CIF file:
```
data_Cd2Cu
_symmetry_space_group_name_H-M 'R 3 m'
_symmetry_Int_Tables_number 160
_symmetry_space_group_name_Hall 'R 3 -2"'
_cell_length_a 2.9585
_cell_length_b 2.9585
_cell_length_c 20.5057
_cell_angle_alpha 90.00
_cell_angle_beta 90.00
_cell_angle_gamma 120.00
loop_
_atom_site_label
_atom_site_fract_x
_atom_site_fract_y
_atom_site_fract_z
_atom_site_occupancy
Cd1 0.0000 0.0000 0.0000 1
Cd2 0.0000 0.0000 0.2062 1
Cu1 0.0000 0.0000 0.4363 1
```

=====

Short version: D(E_F) = 4.57, 6.60, 4.81, 2.58 states/eV/cell, in the order given.
Short version: VASP energy = -61.9, -38.2, -8.9, -19.4 eV/cell, in the order given.